{"formula": "Hf2RuN", "functional": "PBE", "state": "relaxed", "crystal_system": "tetragonal", "spacegroup": "No. 122", "formation_energy_uncorrected_ev_per_atom": -0.6007, "cell": [[6.119, 0.000, 0.000], [0.000, 6.119, 0.000], [3.060, 3.060, 3.672]], "species": ["N", "Hf", "Ru", "Hf", "Hf", "Hf", "N", "Ru"], "fractional_positions": [[0.250, 0.750, 0.500], [0.875, 0.805, 0.750], [0.000, 0.000, 0.000], [0.375, 0.445, 0.750], [0.555, 0.125, 0.250], [0.195, 0.625, 0.250], [0.500, 0.500, 0.000], [0.750, 0.250, 0.500]]}